{"formula": "Hg4AsS2Br", "functional": "PBE-GGA", "state": "optimized geometry", "lattice_angstrom": [[-1.560, 6.094, -5.215], [-7.459, 0.618, 3.278], [6.549, 0.364, 4.783]], "species": ["As", "As", "Hg", "Hg", "Hg", "Hg", "Hg", "Hg", "Hg", "Hg", "Br", "Br", "S", "S", "S", "S"], "fractional_positions": [[0.000, 0.000, 0.000], [0.500, 0.500, 0.500], [0.260, 0.239, 0.502], [0.733, 0.221, 0.977], [0.267, 0.779, 0.023], [0.279, 0.767, 0.523], [0.739, 0.760, 0.002], [0.740, 0.761, 0.498], [0.261, 0.240, 0.998], [0.721, 0.233, 0.477], [0.000, 0.500, 0.000], [0.000, 0.500, 0.500], [0.500, 0.000, 0.000], [0.500, 0.500, 0.000], [0.500, 0.000, 0.500], [0.000, 0.000, 0.500]], "e_form_raw_kj_per_mol_atoms": 3, "final_energy_ev_per_cell": -31.0, "magnetic_moment_mub_per_atom": 0.000}